TlCu2Au2: relaxed, GGA-PBE.

Unit cell a=7.4543 b=7.4543 c=3.1606 alpha=90.00 beta=90.00 gamma=90.00
Positions (direct):
Cu  0.3745  0.8745  0.0000
Cu  0.6255  0.1255  0.0000
Cu  0.1255  0.3745  0.0000
Cu  0.8745  0.6255  0.0000
Tl  0.5000  0.5000  0.0000
Tl  0.0000  0.0000  0.0000
Au  0.3339  0.1661  0.5000
Au  0.8339  0.3339  0.5000
Au  0.1661  0.6661  0.5000
Au  0.6661  0.8339  0.5000

Output
Offset from the most stable computed form: 0.00 eV/f.u.
ΔE_f: 0.059 eV per atom
Total moment: 0.00 μB/f.u.

Cr2CoHg: relaxed, GGA-PBE.

Unit cell a=2.9070 b=3.5666 c=5.4851 alpha=90.00 beta=90.00 gamma=90.00
Positions (direct):
Co  0.5000  0.5000  0.7500
Cr  0.0000  0.0000  0.9316
Cr  0.0000  0.0000  0.5684
Hg  0.5000  0.5000  0.2500

Output
ΔE_f: 0.428 eV per atom
Total moment: 2.29 μB/f.u.

| no. | total DFT energy (no corrections) (eV/f.u.) |
| --- | --- |
| 1 | -16.817 |
| 2 | -24.944 |